[1]
{"formula": "La4BiPS2", "functional": "PBE", "state": "relaxed", "lattice_angstrom": [[4.331, 0.000, 0.000], [0.000, 7.440, -0.119], [0.000, 2.649, 7.105]], "species": ["Bi", "La", "La", "La", "La", "S", "S", "P"], "fractional_positions": [[0.500, 0.500, 0.000], [0.500, 0.246, 0.736], [0.000, 0.767, 0.727], [0.000, 0.233, 0.273], [0.500, 0.754, 0.264], [0.000, 0.000, 0.000], [0.500, 0.000, 0.500], [0.000, 0.500, 0.500]], "energy_ev_per_atom": -6.35, "space_group": "P2/m", "raw_formation_energy_mev_per_atom": -1697.5, "m_tot_mub_per_fu": 0.0, "rho_g_cm3": 6.20}


[2]
{"formula": "Ac2PrYO6", "functional": "PBE", "state": "relaxed", "lattice_angstrom": [[-5.242, -1.471, 2.788], [3.194, -3.584, 4.115], [0.937, 7.001, 5.371]], "species": ["O", "O", "O", "O", "O", "O", "O", "O", "O", "O", "O", "O", "Ac", "Ac", "Ac", "Ac", "Pr", "Pr", "Y", "Y"], "fractional_positions": [[0.812, 0.798, 0.928], [0.130, 0.438, 0.757], [0.370, 0.938, 0.743], [0.630, 0.062, 0.257], [0.870, 0.562, 0.243], [0.799, 0.810, 0.568], [0.701, 0.310, 0.932], [0.188, 0.202, 0.072], [0.312, 0.702, 0.428], [0.201, 0.190, 0.432], [0.688, 0.298, 0.572], [0.299, 0.690, 0.068], [0.483, 0.451, 0.249], [0.017, 0.951, 0.251], [0.983, 0.049, 0.749], [0.517, 0.549, 0.751], [0.500, 0.000, 0.000], [0.000, 0.500, 0.500], [0.500, 0.000, 0.500], [0.000, 0.500, 0.000]], "energy_ev_per_atom": -8.26, "space_group": "P2_1/c", "raw_formation_energy_mev_per_atom": -3342.9, "m_tot_mub_per_fu": 0.0, "rho_g_cm3": 7.55}